# 1
SrLaTl2 | PBEsol | relaxed

a b c (Å): 4.334 4.334 7.009
angles (deg): 90.00 90.00 90.00
Element x y z (fractional)
Sr 0.000 0.000 0.000
La 0.500 0.500 0.665
Tl 0.000 0.000 0.474
Tl 0.500 0.500 0.208

Properties
Energy of formation (eV per atom): -0.171
Total magnetization (μB/f.u.): 0.0
SG: P4mm (99)
Calculated total energy (eV/atom): -3.28
Crystal system: tetragonal

=====

# 2
TlP2Au | PBEsol | relaxed

a b c (Å): 5.292 5.292 5.498
angles (deg): 90.00 90.00 90.00
Element x y z (fractional)
Tl 0.000 0.000 0.000
Tl 0.500 0.500 0.500
P 0.000 0.500 0.000
P 0.000 0.500 0.500
P 0.500 0.000 0.000
P 0.500 0.000 0.500
Au 0.000 0.000 0.500
Au 0.500 0.500 0.000

Properties
Energy of formation (eV per atom): 0.326
Total magnetization (μB/f.u.): 0.0
SG: I4/mmm (139)
E above lowest polymorph (eV per atom): 0.3581
Calculated total energy (eV/atom): -4.21
Crystal system: tetragonal

=====

# 3
CaLa2Bi2 | PBEsol | relaxed

a b c (Å): 8.607 8.607 4.437
angles (deg): 90.00 90.00 90.00
Element x y z (fractional)
Ca 0.000 0.000 0.000
Ca 0.500 0.500 0.000
La 0.153 0.347 0.500
La 0.347 0.847 0.500
La 0.653 0.153 0.500
La 0.847 0.653 0.500
Bi 0.151 0.651 0.000
Bi 0.349 0.151 0.000
Bi 0.651 0.849 0.000
Bi 0.849 0.349 0.000

Properties
Energy of formation (eV per atom): -0.912
Total magnetization (μB/f.u.): 0.0
SG: P4/mbm (127)
Calculated total energy (eV/atom): -5.19
Crystal system: tetragonal

=====

# 4
BaY2ZrMo | PBEsol | relaxed

a b c (Å): 5.424 5.424 5.226
angles (deg): 90.00 90.00 90.00
Element x y z (fractional)
Ba 0.000 0.000 0.000
Y 0.000 0.500 0.000
Y 0.500 0.000 0.000
Zr 0.000 0.000 0.500
Mo 0.500 0.500 0.500

Properties
Energy of formation (eV per atom): 1.932
Total magnetization (μB/f.u.): 3.3
SG: P4/mmm (123)
Calculated total energy (eV/atom): -5.40
Crystal system: tetragonal

=====

Which value of calculated total energy does entry 3 give? -5.19 eV/atom